[1]
DFT (PBE-GGA) results for a relaxed structure of Cu4C3.

Lattice parameters (Å, degrees): 4.143 4.143 4.143 90.00 90.00 90.00
Sites, in units of the cell vectors:
Cu (0.000, 0.000, 0.000)
Cu (0.000, 0.500, 0.500)
Cu (0.500, 0.000, 0.500)
Cu (0.500, 0.500, 0.000)
C (0.000, 0.000, 0.500)
C (0.000, 0.500, 0.000)
C (0.500, 0.000, 0.000)

Calculated values
ΔH_f (0 K)	132	kJ/mol of atoms

=====

[2]
DFT (PBE-GGA) results for a relaxed structure of Cu2C.

Lattice parameters (Å, degrees): 5.550 5.550 3.279 90.00 90.00 120.00
Sites, in units of the cell vectors:
Cu (0.000, 0.265, 0.000)
Cu (0.000, 0.599, 0.500)
Cu (0.265, 0.000, 0.000)
Cu (0.401, 0.401, 0.500)
Cu (0.599, 0.000, 0.500)
Cu (0.735, 0.735, 0.000)
C (0.000, 0.000, 0.500)
C (0.333, 0.667, 0.000)
C (0.667, 0.333, 0.000)

Calculated values
ΔH_f (0 K)	98	kJ/mol of atoms

=====

[3]
DFT (PBE-GGA) results for a relaxed structure of Cu2C.

Lattice parameters (Å, degrees): 3.409 3.409 6.231 90.00 90.00 120.00
Sites, in units of the cell vectors:
Cu (0.000, 0.000, 0.000)
Cu (0.000, 0.000, 0.500)
Cu (0.333, 0.667, 0.250)
Cu (0.667, 0.333, 0.750)
C (0.333, 0.667, 0.750)
C (0.667, 0.333, 0.250)

Calculated values
ΔH_f (0 K)	110	kJ/mol of atoms

=====

Look up the ΔH_f (0 K) of the third one. 110 kJ/mol of atoms